# 1
The following is a PBE calculation of a relaxed GdYAlCo2 crystal, from the Open Quantum Materials Database.

crystal system = orthorhombic
E above lowest polymorph = 79 meV/atom
SG = Amm2
VASP energy = -6.1054 eV/atom

Lattice parameters (Å, degrees): 3.926 6.879 6.879 31.69 90.00 90.00
Fractional positions:
1 Gd 0.000 0.000 0.000
2 Y 0.000 0.734 0.734
3 Al 0.500 0.366 0.366
4 Co 0.500 0.165 0.165
5 Co 0.500 0.568 0.568

=====

# 2
The following is a PBE calculation of a relaxed GdZrAlCo2 crystal, from the Open Quantum Materials Database.

crystal system = orthorhombic
SG = Imm2
VASP energy = -6.6020 eV/atom

Lattice parameters (Å, degrees): 5.189 5.189 5.189 134.00 117.58 80.93
Fractional positions:
1 Gd 0.000 0.000 0.000
2 Zr 0.592 0.592 0.000
3 Al 0.301 0.801 0.500
4 Co 0.018 0.291 0.726
5 Co 0.565 0.291 0.274

=====

# 3
The following is a PBE calculation of a relaxed AlCoGe2 crystal, from the Open Quantum Materials Database.

crystal system = cubic
SG = F-43m
VASP energy = -4.7854 eV/atom

Lattice parameters (Å, degrees): 4.397 4.397 4.397 60.00 60.00 60.00
Fractional positions:
1 Al 0.000 0.000 0.000
2 Co 0.250 0.250 0.250
3 Ge 0.500 0.500 0.500
4 Ge 0.750 0.750 0.750

=====

# 4
The following is a PBE calculation of a relaxed AlCo6Ge crystal, from the Open Quantum Materials Database.

crystal system = tetragonal
SG = P4/mmm
VASP energy = -6.5220 eV/atom

Lattice parameters (Å, degrees): 4.017 4.017 5.680 90.00 90.00 90.00
Fractional positions:
1 Al 0.000 0.000 0.000
2 Co 0.000 0.000 0.500
3 Co 0.000 0.500 0.252
4 Co 0.000 0.500 0.748
5 Co 0.500 0.000 0.252
6 Co 0.500 0.000 0.748
7 Co 0.500 0.500 0.000
8 Ge 0.500 0.500 0.500

=====

# 5
The following is a PBE calculation of a relaxed AlInCoH6 crystal, from the Open Quantum Materials Database.

crystal system = cubic
SG = F-43m
VASP energy = -3.4584 eV/atom

Lattice parameters (Å, degrees): 4.653 4.653 4.653 60.00 60.00 60.00
Fractional positions:
1 Al 0.000 0.000 0.000
2 In 0.500 0.500 0.500
3 Co 0.750 0.750 0.750
4 H 0.501 0.501 0.999
5 H 0.501 0.999 0.501
6 H 0.501 0.999 0.999
7 H 0.999 0.501 0.501
8 H 0.999 0.501 0.999
9 H 0.999 0.999 0.501

=====

# 6
The following is a PBE calculation of a relaxed AlCoTeH6 crystal, from the Open Quantum Materials Database.

crystal system = cubic
SG = F-43m
VASP energy = -2.8588 eV/atom

Lattice parameters (Å, degrees): 4.690 4.690 4.690 60.00 60.00 60.00
Fractional positions:
1 Al 0.000 0.000 0.000
2 Co 0.500 0.500 0.500
3 Te 0.750 0.750 0.750
4 H 0.105 0.105 0.395
5 H 0.105 0.395 0.105
6 H 0.105 0.395 0.395
7 H 0.395 0.105 0.105
8 H 0.395 0.105 0.395
9 H 0.395 0.395 0.105

=====

Question: Number 4 is which compound?
Answer: AlCo6Ge

=====

Question: What is the formula in the first record?
Answer: GdYAlCo2

=====

Question: Look up the VASP energy of the fifth one.
Answer: -3.4584 eV/atom